# NaTa2CrO8 | the Alexandria database | PBE+U | relaxed
data_NaTa2CrO8
_cell_length_a 6.604
_cell_length_b 6.860
_cell_length_c 6.246
_cell_angle_alpha 90.00
_cell_angle_beta 90.64
_cell_angle_gamma 90.00
_space_group_name_H-M_alt 'C 1 2/m 1'
_space_group_IT_number 12
loop_
_space_group_symop_operation_xyz
'x,y,z'
'-x,-y,-z'
'-x,y,-z'
'x,-y,z'
'x+1/2,y+1/2,z'
'-x+1/2,-y+1/2,-z'
'-x+1/2,y+1/2,-z'
'x+1/2,-y+1/2,z'
loop_
_atom_site_label
_atom_site_fract_x
_atom_site_fract_y
_atom_site_fract_z
Na1 0.000 0.000 0.000
Ta1 0.014 0.500 0.753
Cr1 0.000 0.000 0.500
O1 0.000 0.302 0.500
O2 0.000 0.320 0.000
O3 0.199 0.000 0.696
O4 0.204 0.000 0.283
# total energy	-98.26	eV per formula unit
# theoretical density	6.63	Mg/m³

***

# NaTaCr2O6 | the Alexandria database | PBE+U | relaxed
data_NaTaCr2O6
_cell_length_a 5.2547
_cell_length_b 5.2547
_cell_length_c 14.1668
_cell_angle_alpha 90.00
_cell_angle_beta 90.00
_cell_angle_gamma 120.00
_space_group_name_H-M_alt 'R 3'
_space_group_IT_number 146
_space_group_name_Hall 'R 3'
loop_
_atom_site_label
_atom_site_fract_x
_atom_site_fract_y
_atom_site_fract_z
Na1 0.0000 0.0000 0.0000
Ta1 0.0000 0.0000 0.4841
Cr1 0.0000 0.0000 0.2827
Cr2 0.0000 0.0000 0.7836
O1 0.0062 0.3473 0.5388
O2 0.0295 0.6127 0.0491
# density of states at the Fermi level	0.00	states/eV/cell
# total energy	-80.11	eV per formula unit
# theoretical density	5.94	Mg/m³

***

# NaTbCr2O8 | the Alexandria database | PBE+U | relaxed
data_NaTbCr2O8
_cell_length_a 7.279
_cell_length_b 7.279
_cell_length_c 6.256
_cell_angle_alpha 90.00
_cell_angle_beta 90.00
_cell_angle_gamma 90.00
_space_group_name_H-M_alt 'I -4 m 2'
_space_group_IT_number 119
_space_group_name_Hall 'I -4 -2'
loop_
_atom_site_label
_atom_site_fract_x
_atom_site_fract_y
_atom_site_fract_z
Na1 0.000 0.000 0.000
Tb1 0.000 0.500 0.250
Cr1 0.000 0.000 0.500
Cr2 0.000 0.500 0.750
O1 0.000 0.186 0.345
O2 0.000 0.323 0.919
# density of states at the Fermi level	0.00	states/eV/cell
# total energy	-83.04	eV per formula unit
# theoretical density	4.15	Mg/m³

***

# Na3Tb2CrO6 | the Alexandria database | PBE+U | relaxed
data_Na3Tb2CrO6
_cell_length_a 5.736
_cell_length_b 9.959
_cell_length_c 5.859
_cell_angle_alpha 90.00
_cell_angle_beta 108.59
_cell_angle_gamma 90.00
_space_group_name_H-M_alt 'C 1 2/m 1'
_space_group_IT_number 12
loop_
_space_group_symop_operation_xyz
'x,y,z'
'-x,-y,-z'
'-x,y,-z'
'x,-y,z'
'x+1/2,y+1/2,z'
'-x+1/2,-y+1/2,-z'
'-x+1/2,y+1/2,-z'
'x+1/2,-y+1/2,z'
loop_
_atom_site_label
_atom_site_fract_x
_atom_site_fract_y
_atom_site_fract_z
Na1 0.000 0.000 0.000
Na2 0.000 0.345 0.000
Tb1 0.000 0.167 0.500
Cr1 0.000 0.500 0.500
O1 0.222 0.346 0.709
O2 0.242 0.500 0.295
# density of states at the Fermi level	0.00	states/eV/cell
# total energy	-79.79	eV per formula unit
# theoretical density	5.60	Mg/m³